Entry 1:
## NaTm2Fe (PBE)

Data for a relaxed structure of NaTm2Fe.

The structure in POSCAR format:
```
NaTm2Fe
1.0
-2.531 -2.216 1.347
-0.735 -3.134 -1.663
6.102 -6.512 5.627
Tm Fe Na
2 1 1
Direct
0.885 0.885 0.346 Tm
0.115 0.115 0.654 Tm
0.500 0.500 0.500 Fe
0.000 0.000 0.000 Na
```

Results
As for the space group: R-3m, No. 166. The energy of formation comes out at 0.2514 eV/atom. The excess energy over the best structure of this formula in the dataset is 0.84 eV/f.u. The density of states at the Fermi level is 3.1 states/eV/f.u. The calculation puts the magnetic moment at 0.60 μB/f.u.

---

Entry 2:
## NaTm2Fe (PBE)

Data for a relaxed structure of NaTm2Fe.

The structure in POSCAR format:
```
NaTm2Fe
1.0
3.282 0.000 0.000
0.000 3.282 0.000
0.000 0.000 9.335
Tm Na Fe
2 1 1
Direct
0.000 0.000 0.831 Tm
0.000 0.000 0.169 Tm
0.500 0.500 0.500 Na
0.500 0.500 0.000 Fe
```

Results
As for the space group: P4/mmm, No. 123. The energy of formation comes out at 0.0411 eV/atom. The excess energy over the best structure of this formula in the dataset is 0.00 eV/f.u. The density of states at the Fermi level is 1.9 states/eV/f.u. The calculation puts the magnetic moment at 0.00 μB/f.u.

---

Entry 3:
## NaTm3Fe (PBE)

Data for a relaxed structure of NaTm3Fe.

The structure in POSCAR format:
```
NaTm3Fe
1.0
5.214 0.000 0.000
0.000 5.214 0.000
0.000 0.000 5.214
Tm Na Fe
3 1 1
Direct
0.000 0.000 0.500 Tm
0.000 0.500 0.000 Tm
0.500 0.000 0.000 Tm
0.500 0.500 0.500 Na
0.000 0.000 0.000 Fe
```

Results
As for the space group: Pm-3m, No. 221. The energy of formation comes out at 0.1251 eV/atom. The density of states at the Fermi level is 4.2 states/eV/f.u. The calculation puts the magnetic moment at 0.00 μB/f.u.

---

Entry 4:
## Na2VFe (PBE)

Data for a relaxed structure of Na2VFe.

The structure in POSCAR format:
```
Na2VFe
1.0
0.000 3.494 3.494
3.494 0.000 3.494
3.494 3.494 0.000
Na V Fe
2 1 1
Direct
0.750 0.750 0.750 Na
0.250 0.250 0.250 Na
0.000 0.000 0.000 V
0.500 0.500 0.500 Fe
```

Results
As for the space group: Fm-3m, No. 225. The energy of formation comes out at 1.3428 eV/atom. The density of states at the Fermi level is 10.5 states/eV/f.u. The calculation puts the magnetic moment at 6.43 μB/f.u.

---

Entry 5:
## Na3VFe (PBE)

Data for a relaxed structure of Na3VFe.

The structure in POSCAR format:
```
Na3VFe
1.0
-1.684 1.688 5.072
4.104 -2.998 2.361
3.424 4.424 -0.335
Fe Na V
1 3 1
Direct
0.500 0.500 0.500 Fe
0.000 0.500 0.000 Na
0.000 0.000 0.500 Na
0.500 0.000 0.000 Na
0.000 0.000 0.000 V
```

Results
As for the space group: Pm-3m, No. 221. The energy of formation comes out at 1.6166 eV/atom. The excess energy over the best structure of this formula in the dataset is 0.75 eV/f.u. The density of states at the Fermi level is 17.1 states/eV/f.u. The calculation puts the magnetic moment at 8.15 μB/f.u.

---

Entry 6:
## NaV2Fe (PBE)

Data for a relaxed structure of NaV2Fe.

The structure in POSCAR format:
```
NaV2Fe
1.0
0.000 3.026 3.026
3.026 0.000 3.026
3.026 3.026 0.000
V Na Fe
2 1 1
Direct
0.750 0.750 0.750 V
0.250 0.250 0.250 V
0.000 0.000 0.000 Na
0.500 0.500 0.500 Fe
```

Results
As for the space group: Fm-3m, No. 225. The energy of formation comes out at 0.8393 eV/atom. The excess energy over the best structure of this formula in the dataset is 0.00 eV/f.u. The density of states at the Fermi level is 4.4 states/eV/f.u. The calculation puts the magnetic moment at 1.23 μB/f.u.

---

Entry 7:
## NaVFe2 (PBE)

Data for a relaxed structure of NaVFe2.

The structure in POSCAR format:
```
NaVFe2
1.0
-1.066 0.739 4.115
-3.933 -1.048 1.431
-0.493 -3.306 2.728
Na Fe V
1 2 1
Direct
0.000 0.000 0.000 Na
0.750 0.750 0.750 Fe
0.250 0.250 0.250 Fe
0.500 0.500 0.500 V
```

Results
As for the space group: Fm-3m, No. 225. The energy of formation comes out at 0.7138 eV/atom. The density of states at the Fermi level is 4.5 states/eV/f.u. The calculation puts the magnetic moment at 2.38 μB/f.u.

---

Entry 8:
## NaV2Fe2 (PBE)

Data for a relaxed structure of NaV2Fe2.

The structure in POSCAR format:
```
NaV2Fe2
1.0
-6.426 0.381 -3.081
-3.041 -2.199 6.071
-0.236 2.560 0.809
Fe V Na
4 4 2
Direct
0.862 0.638 0.000 Fe
0.138 0.362 0.000 Fe
0.362 0.862 0.000 Fe
0.638 0.138 0.000 Fe
0.855 0.355 0.500 V
0.145 0.645 0.500 V
0.645 0.855 0.500 V
0.355 0.145 0.500 V
0.500 0.500 0.000 Na
0.000 0.000 0.000 Na
```

Results
As for the space group: P4/mbm, No. 127. The energy of formation comes out at 0.3438 eV/atom. The excess energy over the best structure of this formula in the dataset is 0.00 eV/f.u. The density of states at the Fermi level is 4.5 states/eV/f.u. The calculation puts the magnetic moment at 0.00 μB/f.u.

---

Number 1: DFT total energy -4.43 eV/atom. Number 2: DFT total energy -4.64 eV/atom. Number 3: DFT total energy -4.51 eV/atom. Number 4: DFT total energy -3.71 eV/atom. Number 5: DFT total energy -2.69 eV/atom. Number 6: DFT total energy -6.17 eV/atom. Number 7: DFT total energy -6.13 eV/atom. Number 8: DFT total energy -6.95 eV/atom.